Record 1
Co3Mo2W4N3 | GGA-PBE | optimized geometry

The structure in CIF format:
```
data_Co3Mo2W4N3
_cell_length_a 8.528
_cell_length_b 4.938
_cell_length_c 14.195
_cell_angle_alpha 90.00
_cell_angle_beta 102.47
_cell_angle_gamma 90.00
_space_group_name_H-M_alt 'C 1 2/c 1'
_space_group_IT_number 15
_space_group_name_Hall '-C 2yc'
loop_
_atom_site_label
_atom_site_type_symbol
_atom_site_fract_x
_atom_site_fract_y
_atom_site_fract_z
Co1 Co 0.000 0.087 0.250
Co2 Co 0.249 0.166 0.750
Mo1 Mo 0.031 0.414 0.837
W1 W 0.112 0.088 0.091
W2 W 0.225 0.083 0.409
N1 N 0.082 0.256 0.498
N2 N 0.250 0.250 0.000
```

Values from the calculation:
theoretical density	13.04	Mg/m³
M_tot	1.71	Bohr magnetons per cell
raw total energy	-10.0119	eV per atom

=====

Record 2
DyZnSn | GGA-PBE | optimized geometry

The structure in CIF format:
```
data_DyZnSn
_cell_length_a 6.600
_cell_length_b 6.600
_cell_length_c 6.600
_cell_angle_alpha 90.00
_cell_angle_beta 90.00
_cell_angle_gamma 90.00
_space_group_name_H-M_alt 'F -4 3 m'
_space_group_IT_number 216
_space_group_name_Hall 'F -4 2 3'
loop_
_atom_site_label
_atom_site_type_symbol
_atom_site_fract_x
_atom_site_fract_y
_atom_site_fract_z
Dy1 Dy 0.000 0.000 0.000
Zn1 Zn 0.250 0.250 0.250
Sn1 Sn 0.000 0.000 0.500
```

Values from the calculation:
theoretical density	8.01	Mg/m³
M_tot	0.00	Bohr magnetons per cell
raw total energy	-3.6946	eV per atom

=====

Record 3
PmN | GGA-PBE | optimized geometry

The structure in CIF format:
```
data_PmN
_cell_length_a 3.4564
_cell_length_b 3.4564
_cell_length_c 3.1457
_cell_angle_alpha 90.00
_cell_angle_beta 90.00
_cell_angle_gamma 120.00
_space_group_name_H-M_alt 'P -6 m 2'
_space_group_IT_number 187
_space_group_name_Hall 'P -6 2'
loop_
_atom_site_label
_atom_site_type_symbol
_atom_site_fract_x
_atom_site_fract_y
_atom_site_fract_z
Pm1 Pm 0.0000 0.0000 0.0000
N1 N 0.3333 0.6667 0.5000
```

Values from the calculation:
theoretical density	8.11	Mg/m³
M_tot	0.00	Bohr magnetons per cell
raw total energy	-7.5877	eV per atom

=====

Record 4
Te5Pt3Au | GGA-PBE | optimized geometry

The structure in CIF format:
```
data_Te5Pt3Au
_cell_length_a 5.8344
_cell_length_b 5.8344
_cell_length_c 7.7543
_cell_angle_alpha 90.00
_cell_angle_beta 90.00
_cell_angle_gamma 120.00
_space_group_name_H-M_alt 'P 6/m m m'
_space_group_IT_number 191
_space_group_name_Hall '-P 6 2'
loop_
_atom_site_label
_atom_site_type_symbol
_atom_site_fract_x
_atom_site_fract_y
_atom_site_fract_z
Te1 Te 0.0000 0.0000 0.0000
Te2 Te 0.3333 0.6667 0.2784
Pt1 Pt 0.0000 0.5000 0.0000
Au1 Au 0.0000 0.0000 0.5000
```

Values from the calculation:
theoretical density	10.32	Mg/m³
M_tot	0.00	Bohr magnetons per cell
raw total energy	-3.9893	eV per atom

=====

Q: What is the M_tot in the second record?
A: 0.00 Bohr magnetons per cell